A plane-wave DFT calculation with GGA-PBE was carried out for a geometry-optimized NpNbNi14 structure.

Formation energy from the elements   -0.06 eV per atom

abc: 5.209 5.209 7.058
angles: 90.00 90.00 90.00
Fractional coordinates of all 16 atoms:
Np 0.000 0.000 0.000
Nb 0.500 0.500 0.000
Ni 0.000 0.000 0.500
Ni 0.000 0.500 0.000
Ni 0.000 0.500 0.500
Ni 0.252 0.252 0.260
Ni 0.252 0.252 0.740
Ni 0.252 0.748 0.260
Ni 0.252 0.748 0.740
Ni 0.500 0.000 0.000
Ni 0.500 0.000 0.500
Ni 0.500 0.500 0.500
Ni 0.748 0.252 0.260
Ni 0.748 0.252 0.740
Ni 0.748 0.748 0.260
Ni 0.748 0.748 0.740


A plane-wave DFT calculation with GGA-PBE was carried out for a geometry-optimized Tb2Hg3Bi3 structure.

Formation energy from the elements   -0.39 eV per atom

abc: 4.607 5.066 9.381
angles: 90.00 90.00 90.00
Fractional coordinates of all 8 atoms:
Tb 0.000 0.000 0.243
Tb 0.000 0.000 0.757
Hg 0.000 0.500 0.000
Hg 0.500 0.500 0.236
Hg 0.500 0.500 0.764
Bi 0.000 0.500 0.500
Bi 0.500 0.000 0.000
Bi 0.500 0.000 0.500


A plane-wave DFT calculation with GGA-PBE was carried out for a geometry-optimized Ba6As3H2 structure.

abc: 13.676 13.676 13.676
angles: 157.85 157.85 31.52
Fractional coordinates of all 11 atoms:
Ba 0.079 0.579 0.500
Ba 0.205 0.205 0.000
Ba 0.421 0.921 0.500
Ba 0.579 0.079 0.500
Ba 0.795 0.795 0.000
Ba 0.921 0.421 0.500
As 0.330 0.330 0.000
As 0.500 0.500 0.000
As 0.670 0.670 0.000
H 0.099 0.099 0.000
H 0.901 0.901 0.000


A plane-wave DFT calculation with GGA-PBE was carried out for a geometry-optimized AcErRh2 structure.

E above lowest polymorph   32 meV per atom
Formation energy from the elements   -0.65 eV per atom

abc: 5.037 5.037 5.037
angles: 60.00 60.00 60.00
Fractional coordinates of all 4 atoms:
Ac 0.000 0.000 0.000
Er 0.500 0.500 0.500
Rh 0.250 0.250 0.250
Rh 0.750 0.750 0.750


A plane-wave DFT calculation with GGA-PBE was carried out for a geometry-optimized YBi2SbO8 structure.

Energy relative to the elements, uncorrected   -1.63 eV/atom

abc: 5.054 5.054 6.951
angles: 90.00 90.00 90.39
Fractional coordinates of all 12 atoms:
Y 0.000 0.000 0.000
Bi 0.500 0.500 0.254
Bi 0.500 0.500 0.746
Sb 0.000 0.000 0.500
O 0.183 0.183 0.276
O 0.183 0.183 0.724
O 0.286 0.714 0.500
O 0.314 0.686 0.000
O 0.686 0.314 0.000
O 0.714 0.286 0.500
O 0.817 0.817 0.276
O 0.817 0.817 0.724


A plane-wave DFT calculation with GGA-PBE was carried out for a geometry-optimized Tl2Zn2Te structure.

Energy relative to the elements, uncorrected   0.13 eV/atom
E above lowest polymorph   129 meV per atom

abc: 9.180 9.180 3.190
angles: 90.00 90.00 90.00
Fractional coordinates of all 10 atoms:
Tl 0.198 0.302 0.000
Tl 0.302 0.802 0.000
Tl 0.698 0.198 0.000
Tl 0.802 0.698 0.000
Zn 0.101 0.601 0.500
Zn 0.399 0.101 0.500
Zn 0.601 0.899 0.500
Zn 0.899 0.399 0.500
Te 0.000 0.000 0.000
Te 0.500 0.500 0.000


no.,total DFT energy (no corrections) (eV per atom)
1,-6.561
2,-3.111
3,-3.761
4,-6.490
5,-6.469
6,-1.958